A relaxed structure of La3Pr2Ho4. Source: Alexandria via LeMat-Bulk, functional PBE.

Results
For the calculated volume, the calculation gives 616.70 Å³/cell. The total moment is 0.00 μB per cell. As for the density of states at the Fermi level: 28.6 states/eV/cell. The calculated density is 7.315 g/cm3. The energy above the most stable polymorph in this dataset is 0.0 kJ per mole of atoms.

Lattice parameters (Å, degrees): 11.4329 5.1746 10.9415 90.00 107.69 90.00
Last column: nearest neighbours and their distance in Å.
Space group C2/m (No. 12)
Asymmetric unit:
La 0.0000 0.0000 0.0000  8 Ho 3.63-3.65, 4 Pr 3.65
La 0.1669 0.5000 0.5581  6 Ho 3.62-3.68, 3 La 3.64-3.66, 3 Pr 3.67-3.70
Pr 0.1662 0.5000 0.2194  7 Ho 3.61-3.65, 5 La 3.65-3.70
Ho 0.9997 0.0000 0.3335  6 La 3.62-3.68, 3 Pr 3.63-3.65, 3 Ho 3.64-3.66
Ho 0.1657 0.5000 0.8888  4 Pr 3.61-3.63, 4 La 3.62-3.64, 4 Ho 3.66-3.67

A relaxed structure of Ho2CuPb. Source: Alexandria via LeMat-Bulk, functional PBE.

Results
For the calculated volume, the calculation gives 97.33 Å³/cell. The calculated total energy comes out at -4.56 eV per atom. The total moment is 0.01 μB per cell. As for the density of states at the Fermi level: 3.7 states/eV/cell. The calculated density is 10.247 g/cm3.

Lattice parameters (Å, degrees): 3.4631 3.4631 8.1156 90.00 90.00 90.00
Last column: nearest neighbours and their distance in Å.
Space group P4/mmm (No. 123)
Asymmetric unit:
Ho 0.0000 0.0000 0.2135  4 Cu 3.00
Cu 0.5000 0.5000 0.0000  8 Ho 3.00
Pb 0.5000 0.5000 0.5000  8 Ho 3.38, 4 Pb 3.46

A relaxed structure of SrAcAlS4. Source: Alexandria via LeMat-Bulk, functional PBE.

Results
For the calculated volume, the calculation gives 362.14 Å³/cell. The total moment is 0.00 μB per cell. As for the density of states at the Fermi level: 0.0 states/eV/cell. The calculated density is 4.309 g/cm3. The calculation puts the uncorrected formation energy at -1.80 eV per atom.

Lattice parameters (Å, degrees): 6.7755 6.7323 8.3246 90.00 107.50 90.00
Last column: nearest neighbours and their distance in Å.
Space group P2_1/m (No. 11)
Asymmetric unit:
Sr 0.2330 0.2500 0.4325  6 S 2.99-3.20
Ac 0.2776 0.2500 0.9466  6 S 2.96-3.10
Al 0.2701 0.7500 0.2000  4 S 2.24-2.26
S 0.0705 0.7500 0.3705  1 Al 2.24
S 0.0923 0.7500 0.9222  1 Al 2.26
S 0.4954 0.0037 0.2539  1 Al 2.24

A relaxed structure of Rb3Sn2O4. Source: Alexandria via LeMat-Bulk, functional PBE.

Results
For the calculated volume, the calculation gives 1008.05 Å³/cell. The total moment is 2.82 μB per cell. As for the density of states at the Fermi level: 12.5 states/eV/cell. The calculated density is 3.676 g/cm3. The calculation puts the uncorrected formation energy at -1.31 eV per atom.

Lattice parameters (Å, degrees): 6.1866 20.0868 8.1118 90.00 90.00 90.00
Last column: nearest neighbours and their distance in Å.
Space group Imma (No. 74)
Asymmetric unit:
Rb 0.0000 0.1227 0.0954  1 O 2.69
Rb 0.0000 0.2500 0.6102  2 O 2.74
Sn 0.0000 0.0747 0.6168  3 O 1.98-2.09
O 0.0000 0.1359 0.4252  1 Sn 1.98
O 0.2500 0.1195 0.7500  2 Sn 2.09

A relaxed structure of Ta2BeFeS. Source: Alexandria via LeMat-Bulk, functional PBE.

Results
For the calculated volume, the calculation gives 72.80 Å³/cell. The total moment is 0.00 μB per cell. As for the density of states at the Fermi level: 6.1 states/eV/cell. The calculated density is 10.466 g/cm3. The calculation puts the uncorrected formation energy at 0.89 eV per atom.

Lattice parameters (Å, degrees): 4.5420 4.5420 3.5288 90.00 90.00 90.00
Last column: nearest neighbours and their distance in Å.
Space group P4/mmm (No. 123)
Asymmetric unit:
Ta 0.0000 0.5000 0.0000  2 Be 2.27
Be 0.0000 0.0000 0.0000  2 S 1.76
Fe 0.5000 0.5000 0.5000  8 Ta 2.88, 4 S 3.21
S 0.0000 0.0000 0.5000  2 Be 1.76

A relaxed structure of KNpBr6. Source: Alexandria via LeMat-Bulk, functional PBE.

Results
For the calculated volume, the calculation gives 670.05 Å³/cell. The total moment is 4.00 μB per cell. As for the density of states at the Fermi level: 16.6 states/eV/cell. The calculated density is 3.745 g/cm3. The calculation puts the uncorrected formation energy at -1.26 eV per atom. The energy above the most stable polymorph in this dataset is 0.2 kJ per mole of atoms.

Lattice parameters (Å, degrees): 8.0542 12.0887 7.1481 90.00 105.69 90.00
Last column: nearest neighbours and their distance in Å.
Space group C2/m (No. 12)
Asymmetric unit:
K 0.0000 0.0000 0.0000  6 Br 3.40-3.44
Np 0.0000 0.5000 0.5000  6 Br 2.69-2.70
Br 0.1643 0.3424 0.7490  1 Np 2.70
Br 0.2398 0.0000 0.6688  1 Np 2.69

A relaxed structure of InGeSbO6. Source: Alexandria via LeMat-Bulk, functional PBE.

Results
For the calculated volume, the calculation gives 209.79 Å³/cell. The total moment is 0.00 μB per cell. The calculated density is 6.415 g/cm3. The calculation puts the uncorrected formation energy at -1.50 eV per atom.

Lattice parameters (Å, degrees): 4.7308 4.7308 9.3740 90.00 90.00 90.00
Last column: nearest neighbours and their distance in Å.
Space group P4_2nm (No. 102)
Asymmetric unit:
In 0.0000 0.0000 0.0000  6 O 2.14-2.17
Ge 0.0000 0.0000 0.3320  6 O 1.93-1.96
Sb 0.0000 0.0000 0.6670  6 O 2.01-2.03
O 0.1798 0.1798 0.4938  1 Ge 1.94, 1 Sb 2.02, 1 In 2.14
O 0.1969 0.1969 0.1812  1 Ge 1.93, 1 Sb 2.03, 1 In 2.15
O 0.2076 0.2076 0.8227  1 Ge 1.96, 1 Sb 2.01, 1 In 2.17

A relaxed structure of LiTb2Dy. Source: Alexandria via LeMat-Bulk, functional PBE.

Results
For the calculated volume, the calculation gives 357.68 Å³/cell. The total moment is 0.00 μB per cell. As for the density of states at the Fermi level: 10.6 states/eV/cell. The calculated density is 6.787 g/cm3. The energy above the most stable polymorph in this dataset is 1.6 kJ per mole of atoms.

Lattice parameters (Å, degrees): 3.5016 3.5016 33.6844 90.00 90.00 120.00
Last column: nearest neighbours and their distance in Å.
Space group R3m (No. 160, hexagonal axes)
Asymmetric unit:
Li 0.0000 0.0000 0.0000  6 Tb 3.41-3.42, 6 Li 3.50
Tb 0.0000 0.0000 0.5847  3 Li 3.42, 3 Dy 3.50, 6 Tb 3.50
Tb 0.0000 0.0000 0.7483  3 Li 3.41, 6 Tb 3.50, 3 Dy 3.50
Dy 0.0000 0.0000 0.1665  6 Tb 3.50, 6 Dy 3.50